#a
Entry from Alexandria via LeMat-Bulk: a geometry-optimized ScBSb3 structure (PBE).

Computed properties:
space-group type: No. 221
D(E_F): 0.77 states/eV/atom

Cell: 5.439 5.439 5.439 Å, 90.00 90.00 90.00°
Positions (direct):
Sc 0.000 0.000 0.000
B 0.500 0.500 0.500
Sb 0.000 0.000 0.500
Sb 0.000 0.500 0.000
Sb 0.500 0.000 0.000

=====

#b
Entry from Alexandria via LeMat-Bulk: a geometry-optimized ScBSb3 structure (PBE).

Computed properties:
space-group type: No. 221
D(E_F): 1.06 states/eV/atom

Cell: 4.861 4.861 4.861 Å, 90.00 90.00 90.00°
Positions (direct):
Sc 0.000 0.000 0.000
B 0.500 0.500 0.500
Sb 0.000 0.500 0.500
Sb 0.500 0.000 0.500
Sb 0.500 0.500 0.000

=====

Which is the most stable structure? #b is the most stable.

=====

#a
Entry from Alexandria via LeMat-Bulk: a geometry-optimized ScB3Sb structure (PBE).

Computed properties:
space-group type: No. 221
D(E_F): 0.86 states/eV/atom

Cell: 4.422 4.422 4.422 Å, 90.00 90.00 90.00°
Positions (direct):
Sc 0.000 0.000 0.000
B 0.000 0.000 0.500
B 0.000 0.500 0.000
B 0.500 0.000 0.000
Sb 0.500 0.500 0.500

=====

#b
Entry from Alexandria via LeMat-Bulk: a geometry-optimized ScB3Sb structure (PBE).

Computed properties:
space-group type: No. 221
D(E_F): 0.52 states/eV/atom

Cell: 4.417 4.417 4.417 Å, 90.00 90.00 90.00°
Positions (direct):
Sc 0.000 0.000 0.000
B 0.000 0.500 0.500
B 0.500 0.000 0.500
B 0.500 0.500 0.000
Sb 0.500 0.500 0.500

=====

Which is the most stable structure? #b is the most stable.

=====

#a
Entry from Alexandria via LeMat-Bulk: a geometry-optimized ScBSbTe2 structure (PBE).

Computed properties:
space-group type: No. 123
D(E_F): 1.00 states/eV/atom

Cell: 5.513 5.513 5.496 Å, 90.00 90.00 90.00°
Positions (direct):
Sc 0.000 0.000 0.000
B 0.500 0.500 0.500
Sb 0.000 0.000 0.500
Te 0.000 0.500 0.000
Te 0.500 0.000 0.000

=====

#b
Entry from Alexandria via LeMat-Bulk: a geometry-optimized ScBSbTe2 structure (PBE).

Computed properties:
space-group type: No. 123
D(E_F): 0.57 states/eV/atom

Cell: 4.851 4.851 4.923 Å, 90.00 90.00 90.00°
Positions (direct):
Sc 0.000 0.000 0.000
B 0.500 0.500 0.500
Sb 0.500 0.500 0.000
Te 0.000 0.500 0.500
Te 0.500 0.000 0.500

=====

Which is the most stable structure? #b is the most stable.